A relaxed structure of K3Ho2MgTe6, computed with PBE-GGA.

Cell: 7.6167 13.2017 8.7424 Å, 90.00 106.90 90.00°
Space group C2/m (No. 12)
Symmetry-distinct sites (fractional):
K  0.0000  0.0000  0.0000 [2 per cell]
K  0.0000  0.3314  0.0000 [4 per cell]
Ho  0.0000  0.1664  0.5000 [4 per cell]
Mg  0.0000  0.5000  0.5000 [2 per cell]
Te  0.2325  0.3357  0.7051 [8 per cell]
Te  0.2400  0.0000  0.7061 [4 per cell]

Properties
**Uncorrected formation energy**: -1.16 eV per atom
**Theoretical density**: 4.88 g/cm³
**Total DFT energy (no corrections)**: -3.90 eV/atom



A relaxed structure of KHoMgTe3, computed with PBE-GGA.

Cell: 9.6294 4.4990 10.7081 Å, 90.00 107.91 90.00°
Space group P2_1/m (No. 11)
Symmetry-distinct sites (fractional):
K  0.2081  0.2500  0.2326 [2 per cell]
Ho  0.3307  0.7500  0.8649 [2 per cell]
Mg  0.0843  0.2500  0.6090 [2 per cell]
Te  0.1090  0.2500  0.8711 [2 per cell]
Te  0.2205  0.7500  0.5400 [2 per cell]
Te  0.4617  0.7500  0.1614 [2 per cell]

Properties
**Uncorrected formation energy**: -1.20 eV per atom
**Theoretical density**: 4.60 g/cm³
**Total DFT energy (no corrections)**: -3.98 eV/atom



A relaxed structure of K3Ho3MnS8, computed with PBE-GGA.

Cell: 7.8003 7.8003 22.4893 Å, 90.00 90.00 120.00°
Space group R-3m (No. 166, hexagonal axes)
Symmetry-distinct sites (fractional):
K  0.0000  0.5000  0.0000 [9 per cell]
Ho  0.0000  0.5000  0.5000 [9 per cell]
Mn  0.0000  0.0000  0.5000 [3 per cell]
S  0.0000  0.0000  0.2340 [6 per cell]
S  0.0334  0.5167  0.2280 [18 per cell]

Properties
**Uncorrected formation energy**: -1.56 eV per atom
**Theoretical density**: 3.88 g/cm³
**Total DFT energy (no corrections)**: -5.51 eV/atom



A relaxed structure of K2HoMnS4, computed with PBE-GGA.

Cell: 7.8713 8.1613 11.8937 Å, 90.00 90.00 90.00°
Space group Imma (No. 74)
Symmetry-distinct sites (fractional):
K  0.0000  0.0000  0.0000 [4 per cell]
K  0.2500  0.2500  0.2500 [4 per cell]
Ho  0.0000  0.0000  0.5000 [4 per cell]
Mn  0.2500  0.2500  0.7500 [4 per cell]
S  0.0000  0.0620  0.7382 [8 per cell]
S  0.2240  0.2500  0.5082 [8 per cell]

Properties
**Uncorrected formation energy**: -1.23 eV per atom
**Theoretical density**: 3.71 g/cm³
**Total DFT energy (no corrections)**: -5.29 eV/atom